Version a
Below is an optimized crystal structure of AcNdAg, with properties calculated at the PBE-GGA level.

Values from the calculation:
Total magnetization = 0.0 μB per formula unit
Density = 7.97 g cm⁻³
SG = P4/nmm
DOS at the Fermi energy = 8.2 states/eV per cell

Cell: 4.9495 4.9495 8.1471 Å, 90.00 90.00 90.00°
Element x y z (fractional)
Ac  0.2500  0.2500  0.1298
Ac  0.7500  0.7500  0.8702
Nd  0.2500  0.7500  0.5000
Nd  0.7500  0.2500  0.5000
Ag  0.2500  0.2500  0.7451
Ag  0.7500  0.7500  0.2549

---

Version b
Below is an optimized crystal structure of AcNdAg, with properties calculated at the PBE-GGA level.

Values from the calculation:
Total magnetization = 0.0 μB per formula unit
Density = 8.22 g cm⁻³
SG = P3m1
DOS at the Fermi energy = 3.4 states/eV per cell

Cell: 5.3033 5.3033 3.9738 Å, 90.00 90.00 120.00°
Element x y z (fractional)
Ac  0.0000  0.0000  0.0000
Nd  0.6667  0.3333  0.4460
Ag  0.3333  0.6667  0.6252

---

Version c
Below is an optimized crystal structure of AcNdAg, with properties calculated at the PBE-GGA level.

Values from the calculation:
Total magnetization = 0.4 μB per formula unit
Density = 8.10 g cm⁻³
SG = I4mm
DOS at the Fermi energy = 3.9 states/eV per cell

Cell: 7.0789 7.0789 7.0789 Å, 148.18 148.18 45.62°
Element x y z (fractional)
Ac  0.0000  0.0000  0.0000
Nd  0.2910  0.2910  0.0000
Ag  0.6611  0.6611  0.0000

---

Version d
Below is an optimized crystal structure of AcNdAg, with properties calculated at the PBE-GGA level.

Values from the calculation:
Total magnetization = 0.0 μB per formula unit
Density = 7.76 g cm⁻³
SG = Cmcm
DOS at the Fermi energy = 6.6 states/eV per cell

Cell: 6.6086 6.6086 7.6255 Å, 90.00 90.00 141.99°
Element x y z (fractional)
Ac  0.0000  0.0000  0.0000
Ac  0.0000  0.0000  0.5000
Nd  0.2939  0.7061  0.7500
Nd  0.7061  0.2939  0.2500
Ag  0.3808  0.6192  0.2500
Ag  0.6192  0.3808  0.7500

---

Top of the stability list: version c, leading by 7 meV per atom.

---

Version a
Below is an optimized crystal structure of AcNdAg2, with properties calculated at the PBE-GGA level.

Values from the calculation:
Total magnetization = 0.0 μB per formula unit
Density = 7.61 g cm⁻³
SG = R-3m
DOS at the Fermi energy = 4.0 states/eV per cell

Cell: 8.6369 8.6369 8.6369 Å, 28.32 28.32 28.32°
Element x y z (fractional)
Ac  0.0000  0.0000  0.0000
Nd  0.5000  0.5000  0.5000
Ag  0.2453  0.2453  0.2453
Ag  0.7547  0.7547  0.7547

---

Version b
Below is an optimized crystal structure of AcNdAg2, with properties calculated at the PBE-GGA level.

Values from the calculation:
Total magnetization = 0.0 μB per formula unit
Density = 8.43 g cm⁻³
SG = Fm-3m
DOS at the Fermi energy = 3.2 states/eV per cell

Cell: 5.4684 5.4684 5.4684 Å, 60.00 60.00 60.00°
Element x y z (fractional)
Ac  0.0000  0.0000  0.0000
Nd  0.5000  0.5000  0.5000
Ag  0.2500  0.2500  0.2500
Ag  0.7500  0.7500  0.7500

---

Version c
Below is an optimized crystal structure of AcNdAg2, with properties calculated at the PBE-GGA level.

Values from the calculation:
Total magnetization = 0.0 μB per formula unit
Density = 8.50 g cm⁻³
SG = P4/mmm
DOS at the Fermi energy = 2.8 states/eV per cell

Cell: 3.8666 3.8666 7.6744 Å, 90.00 90.00 90.00°
Element x y z (fractional)
Ac  0.0000  0.0000  0.0000
Nd  0.0000  0.0000  0.5000
Ag  0.5000  0.5000  0.2743
Ag  0.5000  0.5000  0.7257

---

Top of the stability list: version c, leading by 19 meV per atom.